A relaxed structure of KPuSe2, computed with PBE-GGA.

## Properties
The calculation puts the energy at -27.6 eV/cell. As for the total magnetic moment: 5.00 μB/cell. The value obtained for the raw formation energy is -1.31 eV per atom. The value obtained for the density of states at the Fermi level is 7.757 states/eV per cell.

a b c (Å): 3.6566 3.6566 7.9185
angles (deg): 90.00 90.00 90.00
Closest atoms and distances in Å follow each position.
Space group P4/mmm (No. 123)
Asymmetric unit:
K 0.0000 0.0000 0.0000 (multiplicity 1)  8 Se 3.46, 4 K 3.66
Pu 0.0000 0.0000 0.5000 (multiplicity 1)  8 Se 3.07
Se 0.5000 0.5000 0.2905 (multiplicity 2)  4 Pu 3.07, 1 Se 3.32